A plane-wave DFT calculation with GGA-PBE was carried out for crystalline NaPm6Sn5 at its relaxed geometry.

Summary:
- E_form: -559 meV/atom
- Total magnetization: 0.00 μB/cell

a b c (Å): 5.1371 8.6137 15.5224
angles (deg): 90.00 90.00 90.00
Space group Immm (No. 71)
Asymmetric unit:
Na 0.0000 0.0000 0.0000 [2 per cell]
Pm 0.0000 0.2392 0.5000 [4 per cell]
Pm 0.0000 0.2553 0.1732 [8 per cell]
Sn 0.0000 0.0000 0.3332 [4 per cell]
Sn 0.0000 0.5000 0.0000 [2 per cell]
Sn 0.0000 0.5000 0.3491 [4 per cell]